Entry 1:
First-principles (PBE) data for ErScCd after structural relaxation, as listed in the Alexandria database.

Geometry as POSCAR:
```
ErScCd
1.0
-1.7027 -2.5905 -1.4225
-1.4510 -1.5802 4.6145
-2.8804 3.3092 -2.5784
Sc Er Cd
1 1 1
Cartesian
-1.5365 -2.3376 -1.2837
-3.0089 0.7590 -0.6862
-3.1915 -1.8734 1.1609
```

- Energy of formation: -0.08 eV/atom
- SG: P3m1, No. 156

***

Entry 2:
First-principles (PBE) data for Li2Zn2Hg after structural relaxation, as listed in the Alexandria database.

Geometry as POSCAR:
```
Li2Zn2Hg
1.0
4.3523 0.0000 1.3146
1.8537 4.6533 1.7248
-0.0867 0.7144 8.1491
Zn Li Hg
4 4 2
Cartesian
1.0088 1.9199 8.4119
4.1779 3.8893 5.8639
1.9413 1.4784 5.3245
5.1105 3.4478 2.7766
2.8456 1.1861 2.3312
1.5755 3.8699 6.6177
3.2737 4.1816 8.8573
4.5438 1.4978 4.5708
3.6525 1.6991 7.5259
2.4668 3.6686 3.6626
```

- Energy of formation: -0.22 eV/atom
- SG: C2/c, No. 15

***

Entry 3:
First-principles (PBE) data for CaAc3Sm2S6 after structural relaxation, as listed in the Alexandria database.

Geometry as POSCAR:
```
CaAc3Sm2S6
1.0
7.1813 -0.0025 0.0036
-3.5910 6.2189 0.0036
-1.1938 -2.0670 6.8454
Ac S Ca Sm
3 6 1 2
Cartesian
-2.3880 4.1459 3.4264
1.1982 2.0747 3.4264
4.7845 0.0035 3.4264
2.4050 4.1642 1.5641
0.0225 4.1505 5.2884
3.5838 2.0937 5.2884
-1.1874 2.0557 1.5644
-0.0085 -0.0147 5.2886
2.3740 -0.0011 1.5644
0.0000 0.0000 0.0000
3.5922 2.0703 0.0036
-0.0020 4.1461 0.0036
```

- E_form (uncorrected): -2.0124 eV/atom
- SG: C2/m, No. 12

***

Entry 4:
First-principles (PBE) data for BaVSb3 after structural relaxation, as listed in the Alexandria database.

Geometry as POSCAR:
```
BaVSb3
1.0
-3.9084 -0.2755 3.5624
1.4887 -4.9251 1.2525
3.2481 1.9259 3.7125
Sb V Ba
3 1 1
Cartesian
-1.9542 -0.1377 1.7812
0.7444 -2.4626 0.6262
1.6241 0.9630 1.8562
0.0000 0.0000 0.0000
0.4142 -1.6373 4.2637
```

- E_form (uncorrected): -0.2703 eV/atom
- SG: Pm-3m, No. 221

***

no.,raw total energy (eV/atom),N(E_F) (states/eV per atom)
1,-4.01,1.21
2,-1.55,0.27
3,-6.06,0.47
4,-4.95,0.53